1.
{
  "formula": "KScBe2",
  "functional": "GGA-PBEsol",
  "state": "optimized geometry",
  "spacegroup": "I-42d",
  "relative_energy_kj_per_mol_fu": 154,
  "dos_ef_per_ev_atom": 0.854,
  "e_form_ev_per_atom": 1.1894,
  "m_tot_mub_per_fu": 0.0,
  "lattice_angstrom": [[5.8273, 0.0000, 0.0000], [2.9137, 5.4353, 0.0000], [2.9137, 0.0000, 5.4353]],
  "species": ["Sc", "Sc", "Be", "Be", "Be", "Be", "K", "K"],
  "fractional_positions": [[0.7500, 0.5000, 0.5000], [0.0000, 0.0000, 0.0000], [0.0896, 0.0354, 0.5354], [0.6604, 0.9646, 0.4646], [0.3750, 0.5354, 0.9646], [0.8750, 0.4646, 0.0354], [0.2500, 0.5000, 0.5000], [0.5000, 0.0000, 0.0000]]
}



2.
{
  "formula": "InSb2Pt",
  "functional": "GGA-PBEsol",
  "state": "optimized geometry",
  "raw_formation_energy_mev_per_atom": -279,
  "spacegroup": "Cmmm",
  "dos_ef_per_ev_atom": 0.301,
  "m_tot_mub_per_fu": 0.0,
  "lattice_angstrom": [[4.1524, 0.0000, 0.0000], [0.0000, 5.2078, -0.0266], [0.0000, -2.3723, 4.6362]],
  "species": ["In", "Pt", "Sb", "Sb"],
  "fractional_positions": [[0.5000, 0.5000, 0.5000], [0.5000, 0.0000, 0.0000], [0.0000, 0.8140, 0.1860], [0.0000, 0.1860, 0.8140]]
}



3.
{
  "formula": "Co4Ir3",
  "functional": "GGA-PBEsol",
  "state": "optimized geometry",
  "spacegroup": "I4/mmm",
  "dos_ef_per_ev_atom": 1.311,
  "e_form_ev_per_atom": 0.0707,
  "m_tot_mub_per_fu": 6.1,
  "lattice_angstrom": [[-0.1102, 0.8780, 2.4809], [-2.3113, -1.2197, 0.3290], [7.0203, -9.8153, 2.3872]],
  "species": ["Ir", "Ir", "Ir", "Co", "Co", "Co", "Co"],
  "fractional_positions": [[0.0000, 0.0000, 0.0000], [0.2898, 0.2898, 0.5796], [0.7102, 0.7102, 0.4204], [0.1371, 0.1371, 0.2741], [0.4272, 0.4272, 0.8543], [0.5728, 0.5728, 0.1457], [0.8629, 0.8629, 0.7259]]
}



4.
{
  "formula": "TlP",
  "functional": "GGA-PBEsol",
  "state": "optimized geometry",
  "spacegroup": "Cm",
  "dos_ef_per_ev_atom": 0.376,
  "e_form_ev_per_atom": 0.1900,
  "m_tot_mub_per_fu": 0.0,
  "lattice_angstrom": [[-0.2615, -2.7655, -1.7539], [6.2642, 0.8202, 0.8496], [-1.7382, -3.5130, 5.7985]],
  "species": ["P", "P", "P", "Tl", "Tl", "Tl"],
  "fractional_positions": [[0.9425, 0.8849, 0.9927], [0.3997, 0.7995, 0.7486], [0.3821, 0.7641, 0.1875], [0.7480, 0.4961, 0.4463], [0.0255, 0.0509, 0.5071], [0.6689, 0.3378, 0.9511]]
}



5.
{
  "formula": "Nb9PO25",
  "functional": "GGA-PBEsol",
  "state": "optimized geometry",
  "raw_formation_energy_mev_per_atom": -2503,
  "spacegroup": "C2",
  "dos_ef_per_ev_atom": 0.000,
  "m_tot_mub_per_fu": 0.0,
  "lattice_angstrom": [[3.8613, 0.0000, 0.0000], [1.9307, 11.1326, 0.0002], [1.9307, 0.0002, 11.1320]],
  "species": ["Nb", "Nb", "Nb", "Nb", "Nb", "Nb", "Nb", "Nb", "Nb", "P", "O", "O", "O", "O", "O", "O", "O", "O", "O", "O", "O", "O", "O", "O", "O", "O", "O", "O", "O", "O", "O", "O", "O", "O", "O"],
  "fractional_positions": [[0.3341, 0.7844, 0.5565], [0.6751, 0.2156, 0.4435], [0.1074, 0.5565, 0.2156], [0.8795, 0.4435, 0.7844], [0.0407, 0.0000, 0.0000], [0.1023, 0.1101, 0.6723], [0.8847, 0.8899, 0.3277], [0.2234, 0.6722, 0.8899], [0.7855, 0.3278, 0.1101], [0.2492, 0.5000, 0.5000], [0.1461, 0.2003, 0.4901], [0.8365, 0.7997, 0.5099], [0.3620, 0.4901, 0.7996], [0.6518, 0.5099, 0.2004], [0.2901, 0.7304, 0.7097], [0.7302, 0.2696, 0.2903], [0.9978, 0.7097, 0.2696], [0.9771, 0.2903, 0.7304], [0.4177, 0.6153, 0.4861], [0.5191, 0.3847, 0.5139], [0.0946, 0.4861, 0.3847], [0.9654, 0.5139, 0.6153], [0.3783, 0.8602, 0.3654], [0.6039, 0.1398, 0.6346], [0.2546, 0.3654, 0.1398], [0.7598, 0.6346, 0.8602], [0.2009, 0.9551, 0.6039], [0.7599, 0.0449, 0.3961], [0.1930, 0.6038, 0.0449], [0.8417, 0.3962, 0.9551], [0.0558, 0.0628, 0.8311], [0.9498, 0.9372, 0.1689], [0.1209, 0.8311, 0.9371], [0.8891, 0.1689, 0.0629], [0.5148, 0.0000, 0.0000]]
}



6.
{
  "formula": "Mg3Al2Cu4",
  "functional": "GGA-PBEsol",
  "state": "optimized geometry",
  "spacegroup": "C2/m",
  "relative_energy_kj_per_mol_fu": 0,
  "dos_ef_per_ev_atom": 0.240,
  "e_form_ev_per_atom": -0.2154,
  "m_tot_mub_per_fu": 0.0,
  "lattice_angstrom": [[5.0241, -0.0097, -0.0160], [2.4993, 4.3583, -0.0160], [-0.1027, -0.0594, 12.1093]],
  "species": ["Mg", "Mg", "Mg", "Mg", "Mg", "Mg", "Al", "Al", "Al", "Al", "Cu", "Cu", "Cu", "Cu", "Cu", "Cu", "Cu", "Cu"],
  "fractional_positions": [[0.8340, 0.8340, 0.5400], [0.1635, 0.1635, 0.2180], [0.5067, 0.5067, 0.8703], [0.1660, 0.1660, 0.4600], [0.4933, 0.4933, 0.1297], [0.8365, 0.8365, 0.7820], [0.8224, 0.8224, 0.1722], [0.1776, 0.1776, 0.8278], [0.5000, 0.5000, 0.5000], [0.0000, 0.0000, 0.0000], [0.3356, 0.3356, 0.6633], [0.6644, 0.6644, 0.3367], [0.0000, 0.5000, 0.0000], [0.3345, 0.8349, 0.6652], [0.6655, 0.1651, 0.3348], [0.1651, 0.6655, 0.3348], [0.5000, 0.0000, 0.0000], [0.8349, 0.3345, 0.6652]]
}



7.
{
  "formula": "PtAu2C",
  "functional": "GGA-PBEsol",
  "state": "optimized geometry",
  "spacegroup": "I-42d",
  "dos_ef_per_ev_atom": 0.549,
  "e_form_ev_per_atom": 0.8904,
  "m_tot_mub_per_fu": 0.0,
  "lattice_angstrom": [[-3.7276, -0.4279, 1.1980], [-0.0339, -2.7158, 5.3993], [-1.6244, 4.8857, 3.1655]],
  "species": ["C", "C", "Au", "Au", "Au", "Au", "Pt", "Pt"],
  "fractional_positions": [[0.5000, 0.0000, 0.0000], [0.2500, 0.5000, 0.5000], [0.8750, 0.8806, 0.6194], [0.3750, 0.1194, 0.3806], [0.5056, 0.6194, 0.1194], [0.2444, 0.3806, 0.8806], [0.0000, 0.0000, 0.0000], [0.7500, 0.5000, 0.5000]]
}



8.
{
  "formula": "Al3Pb5F19",
  "functional": "GGA-PBEsol",
  "state": "optimized geometry",
  "raw_formation_energy_mev_per_atom": -2889,
  "spacegroup": "I4/mcm",
  "relative_energy_kj_per_mol_fu": 59,
  "dos_ef_per_ev_atom": 0.000,
  "m_tot_mub_per_fu": 0.0,
  "lattice_angstrom": [[-5.4748, 2.2011, 4.2416], [-9.0077, -5.1163, -2.7465], [-0.5830, -6.2262, 8.7036]],
  "species": ["Al", "Al", "Al", "Al", "Al", "Al", "F", "F", "F", "F", "F", "F", "F", "F", "F", "F", "F", "F", "F", "F", "F", "F", "F", "F", "F", "F", "F", "F", "F", "F", "F", "F", "F", "F", "F", "F", "F", "F", "F", "F", "F", "F", "F", "F", "Pb", "Pb", "Pb", "Pb", "Pb", "Pb", "Pb", "Pb", "Pb", "Pb"],
  "fractional_positions": [[0.1661, 0.1678, 0.5000], [0.8339, 0.8322, 0.5000], [0.6661, 0.5000, 0.1678], [0.3339, 0.5000, 0.8322], [0.2500, 0.0000, 0.0000], [0.7500, 0.0000, 0.0000], [0.6025, 0.8206, 0.6301], [0.0532, 0.1794, 0.3699], [0.2326, 0.3699, 0.8206], [0.4230, 0.6301, 0.1794], [0.8975, 0.3699, 0.1794], [0.4468, 0.6301, 0.8206], [0.2674, 0.1794, 0.6301], [0.0770, 0.8206, 0.3699], [0.3975, 0.1794, 0.3699], [0.9468, 0.8206, 0.6301], [0.7674, 0.6301, 0.1794], [0.5770, 0.3699, 0.8206], [0.1025, 0.6301, 0.8206], [0.5532, 0.3699, 0.1794], [0.7326, 0.8206, 0.3699], [0.9230, 0.1794, 0.6301], [0.4239, 0.5000, 0.6522], [0.5761, 0.5000, 0.3478], [0.0761, 0.3478, 0.5000], [0.9239, 0.6522, 0.5000], [0.7445, 0.0109, 0.5000], [0.2555, 0.9891, 0.5000], [0.2445, 0.5000, 0.0109], [0.7555, 0.5000, 0.9891], [0.5000, 0.0000, 0.0000], [0.0000, 0.0000, 0.0000], [0.6607, 0.1785, 0.0000], [0.8393, 0.8215, 0.0000], [0.6607, 0.0000, 0.1785], [0.8393, 0.0000, 0.8215], [0.3393, 0.8215, 0.0000], [0.1607, 0.1785, 0.0000], [0.3393, 0.0000, 0.8215], [0.1607, 0.0000, 0.1785], [0.6064, 0.2871, 0.5000], [0.3936, 0.7129, 0.5000], [0.1064, 0.5000, 0.2871], [0.8936, 0.5000, 0.7129], [0.4305, 0.8409, 0.2981], [0.5695, 0.1591, 0.7019], [0.7286, 0.7019, 0.8409], [0.2714, 0.2981, 0.1591], [0.0695, 0.7019, 0.1591], [0.9305, 0.2981, 0.8409], [0.7714, 0.1591, 0.2981], [0.2286, 0.8409, 0.7019], [0.2500, 0.5000, 0.5000], [0.7500, 0.5000, 0.5000]]
}



9.
{
  "formula": "AlC2",
  "functional": "GGA-PBEsol",
  "state": "optimized geometry",
  "spacegroup": "P-6m2",
  "relative_energy_kj_per_mol_fu": 58,
  "dos_ef_per_ev_atom": 0.147,
  "e_form_ev_per_atom": 0.7650,
  "m_tot_mub_per_fu": 0.0,
  "lattice_angstrom": [[2.9981, 0.0000, 0.0000], [-1.4991, 2.5965, 0.0000], [0.0000, 0.0000, 3.9673]],
  "species": ["C", "C", "Al"],
  "fractional_positions": [[0.3333, 0.6667, 0.1614], [0.3333, 0.6667, 0.8386], [0.0000, 0.0000, 0.5000]]
}



10.
{
  "formula": "ZrScP2",
  "functional": "GGA-PBEsol",
  "state": "optimized geometry",
  "spacegroup": "I-42d",
  "relative_energy_kj_per_mol_fu": 288,
  "dos_ef_per_ev_atom": 0.633,
  "e_form_ev_per_atom": -0.7518,
  "m_tot_mub_per_fu": 0.0,
  "lattice_angstrom": [[5.8372, 0.0000, 0.0000], [0.0000, 5.8372, 0.0000], [-2.9186, -2.9186, 5.7919]],
  "species": ["Sc", "Sc", "P", "P", "P", "P", "Zr", "Zr"],
  "fractional_positions": [[0.7500, 0.2500, 0.5000], [0.5000, 0.5000, 0.0000], [0.3718, 0.8750, 0.2500], [0.8782, 0.3750, 0.2500], [0.1250, 0.1218, 0.7500], [0.6250, 0.6282, 0.7500], [0.2500, 0.7500, 0.5000], [0.0000, 0.0000, 0.0000]]
}



11.
{
  "formula": "KTeOF3",
  "functional": "GGA-PBEsol",
  "state": "optimized geometry",
  "raw_formation_energy_mev_per_atom": -2113,
  "spacegroup": "P2_1",
  "relative_energy_kj_per_mol_fu": 43,
  "dos_ef_per_ev_atom": 0.000,
  "m_tot_mub_per_fu": 0.0,
  "lattice_angstrom": [[4.6768, 0.0000, 0.0000], [0.0000, 5.9047, 0.8197], [0.0000, -0.9566, 7.7333]],
  "species": ["F", "F", "F", "F", "F", "F", "K", "K", "O", "O", "Te", "Te"],
  "fractional_positions": [[0.7901, 0.0983, 0.1381], [0.2901, 0.9017, 0.8619], [0.9839, 0.4187, 0.9391], [0.4839, 0.5813, 0.0609], [0.2184, 0.0183, 0.3412], [0.7184, 0.9817, 0.6588], [0.6497, 0.7428, 0.3683], [0.1497, 0.2572, 0.6317], [0.0635, 0.4561, 0.3101], [0.5635, 0.5439, 0.6899], [0.1613, 0.2552, 0.1491], [0.6613, 0.7448, 0.8509]]
}



12.
{
  "formula": "LiTe4Br",
  "functional": "GGA-PBEsol",
  "state": "optimized geometry",
  "raw_formation_energy_mev_per_atom": -60,
  "spacegroup": "F-43m",
  "dos_ef_per_ev_atom": 0.944,
  "m_tot_mub_per_fu": 0.0,
  "lattice_angstrom": [[-6.0034, -1.0192, -1.5317], [-4.2208, -1.2208, 4.4855], [-4.3752, 4.2675, 1.4392]],
  "species": ["Br", "Li", "Te", "Te", "Te", "Te"],
  "fractional_positions": [[0.7500, 0.7500, 0.7500], [0.0000, 0.0000, 0.0000], [0.3754, 0.3754, 0.3754], [0.3754, 0.3754, 0.8739], [0.8739, 0.3754, 0.3754], [0.3754, 0.8739, 0.3754]]
}